VASP calculation (GGA-PBE) on a relaxed structure of Ta2Nb2Co.

a b c (Å): 7.6617 7.6617 7.6617
angles (deg): 152.93 152.93 38.66
Last column: nearest neighbours and their distance in Å.
Sites, in units of the cell vectors:
Ta: 0.0865 0.0865 0.0000  1 Ta 2.50
Ta: 0.9135 0.9135 0.0000  1 Ta 2.50
Nb: 0.2500 0.7500 0.5000  4 Nb 2.54
Nb: 0.7500 0.2500 0.5000  4 Nb 2.54
Co: 0.5000 0.5000 0.0000  8 Ta 2.83

Values from the calculation:
- Calculated volume: 93 Å³/cell
- Polymorph energy (0 for the lowest one): 0.582 eV/atom
- Density: 10.83 g/cm³
- DOS(E_F): 1.182 states/eV/atom
- ΔH_f (0 K): 4.7 eV/f.u.

VASP calculation (GGA-PBE) on a relaxed structure of TaNbCo2.

a b c (Å): 2.9563 2.9563 6.6181
angles (deg): 90.00 90.00 90.00
Last column: nearest neighbours and their distance in Å.
Sites, in units of the cell vectors:
Ta: 0.0000 0.0000 0.0000  8 Co 2.54
Nb: 0.0000 0.0000 0.5000  8 Co 2.80, 4 Nb 2.96
Co: 0.5000 0.5000 0.2185  4 Ta 2.54, 4 Nb 2.80
Co: 0.5000 0.5000 0.7815  4 Ta 2.54, 4 Nb 2.80

Values from the calculation:
- Calculated volume: 58 Å³/cell
- Polymorph energy (0 for the lowest one): 0.097 eV/atom
- Density: 11.25 g/cm³
- DOS(E_F): 0.832 states/eV/atom
- ΔH_f (0 K): -0.4 eV/f.u.

VASP calculation (GGA-PBE) on a relaxed structure of TaNb2Co.

a b c (Å): 4.5167 4.5167 4.5167
angles (deg): 60.00 60.00 60.00
Last column: nearest neighbours and their distance in Å.
Sites, in units of the cell vectors:
Ta: 0.0000 0.0000 0.0000  8 Nb 2.77
Nb: 0.2500 0.2500 0.2500  4 Ta 2.77, 4 Co 2.77
Nb: 0.7500 0.7500 0.7500  4 Ta 2.77, 4 Co 2.77
Co: 0.5000 0.5000 0.5000  8 Nb 2.77

Values from the calculation:
- Calculated volume: 65 Å³/cell
- Polymorph energy (0 for the lowest one): 0.070 eV/atom
- Density: 10.85 g/cm³
- DOS(E_F): 0.874 states/eV/atom
- ΔH_f (0 K): 0.2 eV/f.u.

VASP calculation (GGA-PBE) on a relaxed structure of TaNb2Co.

a b c (Å): 5.7707 5.7707 5.7707
angles (deg): 101.84 101.84 126.12
Last column: nearest neighbours and their distance in Å.
Sites, in units of the cell vectors:
Ta: 0.0000 0.0000 0.0000  2 Co 2.61, 4 Nb 2.84
Ta: 0.7500 0.2500 0.5000  2 Co 2.61, 4 Nb 2.84
Nb: 0.1609 0.6250 0.0359  2 Co 2.48, 2 Nb 2.67
Nb: 0.3750 0.4109 0.5359  2 Co 2.48, 2 Nb 2.67
Nb: 0.5891 0.1250 0.9641  2 Co 2.48, 2 Nb 2.67
Nb: 0.8750 0.8391 0.4641  2 Co 2.48, 2 Nb 2.67
Co: 0.2500 0.7500 0.5000  4 Nb 2.48, 2 Ta 2.61
Co: 0.5000 0.5000 0.0000  4 Nb 2.48, 2 Ta 2.61

Values from the calculation:
- Calculated volume: 138 Å³/cell
- Polymorph energy (0 for the lowest one): 0.424 eV/atom
- Density: 10.22 g/cm³
- DOS(E_F): 1.146 states/eV/atom
- ΔH_f (0 K): 1.6 eV/f.u.

VASP calculation (GGA-PBE) on a relaxed structure of Ta2Nb5Co.

a b c (Å): 6.4754 12.9936 3.2919
angles (deg): 90.00 90.00 90.00
Last column: nearest neighbours and their distance in Å.
Sites, in units of the cell vectors:
Ta: 0.2377 0.1203 0.0000  2 Co 2.74, 6 Nb 2.84-2.88
Ta: 0.2623 0.6203 0.0000  2 Co 2.74, 6 Nb 2.84-2.88
Ta: 0.7377 0.3797 0.0000  2 Co 2.74, 6 Nb 2.84-2.88
Ta: 0.7623 0.8797 0.0000  2 Co 2.74, 6 Nb 2.84-2.88
Nb: 0.0000 0.5000 0.5000  4 Nb 2.80, 4 Ta 2.84
Nb: 0.0086 0.7512 0.5000  4 Nb 2.80-2.88, 4 Ta 2.84-2.88
Nb: 0.2489 0.3771 0.0000  6 Nb 2.80-2.88, 2 Co 2.81
Nb: 0.2511 0.8771 0.0000  6 Nb 2.80-2.88, 2 Co 2.81
Nb: 0.4914 0.2512 0.5000  4 Nb 2.80-2.88, 4 Ta 2.84-2.88
Nb: 0.5000 0.0000 0.5000  4 Nb 2.80, 4 Ta 2.84
Nb: 0.5086 0.7488 0.5000  4 Nb 2.80-2.88, 4 Ta 2.84-2.88
Nb: 0.7489 0.1229 0.0000  6 Nb 2.80-2.88, 2 Co 2.81
Nb: 0.7511 0.6229 0.0000  6 Nb 2.80-2.88, 2 Co 2.81
Nb: 0.9914 0.2488 0.5000  4 Nb 2.80-2.88, 4 Ta 2.84-2.88
Co: 0.0000 0.0000 0.5000  4 Ta 2.74, 4 Nb 2.81
Co: 0.5000 0.5000 0.5000  4 Ta 2.74, 4 Nb 2.81

Values from the calculation:
- Calculated volume: 277 Å³/cell
- Density: 10.62 g/cm³
- DOS(E_F): 0.886 states/eV/atom
- ΔH_f (0 K): -0.3 eV/f.u.

VASP calculation (GGA-PBE) on a relaxed structure of TaNbCo2.

a b c (Å): 5.0067 3.9742 6.1063
angles (deg): 90.00 107.82 90.00
Last column: nearest neighbours and their distance in Å.
Sites, in units of the cell vectors:
Ta: 0.2170 0.2500 0.4299  7 Co 2.54-2.67
Ta: 0.7830 0.7500 0.5701  7 Co 2.54-2.67
Nb: 0.2163 0.2500 0.9282  7 Co 2.56-2.68
Nb: 0.7837 0.7500 0.0718  7 Co 2.56-2.68
Co: 0.3226 0.7500 0.2081  3 Ta 2.55-2.66, 4 Nb 2.57-2.68, 2 Co 2.61
Co: 0.3233 0.7500 0.7031  4 Ta 2.54-2.67, 3 Nb 2.56-2.68, 2 Co 2.61
Co: 0.6767 0.2500 0.2969  4 Ta 2.54-2.67, 3 Nb 2.56-2.68, 2 Co 2.61
Co: 0.6774 0.2500 0.7919  3 Ta 2.55-2.66, 4 Nb 2.57-2.68, 2 Co 2.61

Values from the calculation:
- Calculated volume: 116 Å³/cell
- Polymorph energy (0 for the lowest one): 0.000 eV/atom
- Density: 11.25 g/cm³
- DOS(E_F): 0.446 states/eV/atom
- ΔH_f (0 K): -0.8 eV/f.u.

VASP calculation (GGA-PBE) on a relaxed structure of Ta2Nb2Co.

a b c (Å): 6.4536 6.4536 4.2803
angles (deg): 90.00 90.00 90.00
Last column: nearest neighbours and their distance in Å.
Sites, in units of the cell vectors:
Ta: 0.1518 0.3482 0.0000  2 Co 2.45, 2 Nb 2.70
Ta: 0.3482 0.8482 0.0000  2 Co 2.45, 2 Nb 2.70
Ta: 0.6518 0.1518 0.0000  2 Co 2.45, 2 Nb 2.70
Ta: 0.8482 0.6518 0.0000  2 Co 2.45, 2 Nb 2.70
Nb: 0.1677 0.6677 0.5000  6 Ta 2.70-2.97
Nb: 0.3323 0.1677 0.5000  6 Ta 2.70-2.97
Nb: 0.6677 0.8323 0.5000  6 Ta 2.70-2.97
Nb: 0.8323 0.3323 0.5000  6 Ta 2.70-2.97
Co: 0.0000 0.0000 0.0000  4 Ta 2.45
Co: 0.5000 0.5000 0.0000  4 Ta 2.45

Values from the calculation:
- Calculated volume: 178 Å³/cell
- Polymorph energy (0 for the lowest one): 0.000 eV/atom
- Density: 11.30 g/cm³
- DOS(E_F): 1.280 states/eV/atom
- ΔH_f (0 K): 1.8 eV/f.u.

VASP calculation (GGA-PBE) on a relaxed structure of TaNbCo.

a b c (Å): 9.8370 9.1871 4.9610
angles (deg): 82.28 67.74 29.98
Last column: nearest neighbours and their distance in Å.
Sites, in units of the cell vectors:
Ta: 0.0445 0.0445 0.2055  4 Co 2.59-2.61, 1 Ta 2.85
Ta: 0.2055 0.2055 0.0445  4 Co 2.59-2.61, 1 Ta 2.85
Ta: 0.7945 0.7945 0.9555  4 Co 2.59-2.61, 1 Ta 2.85
Ta: 0.9555 0.9555 0.7945  4 Co 2.59-2.61, 1 Ta 2.85
Nb: 0.2037 0.5463 0.2037  4 Co 2.64, 3 Nb 2.82-2.95
Nb: 0.4537 0.7963 0.4537  4 Co 2.64, 3 Nb 2.82-2.95
Nb: 0.5463 0.2037 0.5463  4 Co 2.64, 3 Nb 2.82-2.95
Nb: 0.7963 0.4537 0.7963  4 Co 2.64, 3 Nb 2.82-2.95
Co: 0.2512 0.2512 0.4988  2 Co 2.48, 4 Ta 2.59-2.61, 4 Nb 2.64
Co: 0.4988 0.4988 0.2512  2 Co 2.48, 4 Ta 2.59-2.61, 4 Nb 2.64
Co: 0.5012 0.5012 0.7488  2 Co 2.48, 4 Ta 2.59-2.61, 4 Nb 2.64
Co: 0.7488 0.7488 0.5012  2 Co 2.48, 4 Ta 2.59-2.61, 4 Nb 2.64

Values from the calculation:
- Calculated volume: 188 Å³/cell
- Polymorph energy (0 for the lowest one): 0.020 eV/atom
- Density: 11.74 g/cm³
- DOS(E_F): 1.127 states/eV/atom
- ΔH_f (0 K): -0.6 eV/f.u.